The following is a DFT calculation (PBE) of a relaxed Be3Au2 crystal.

Results
- ρ (g/cm3) = 11.204
- SG = No. 166

Unit cell a=4.0496 b=4.0496 c=4.9767 alpha=65.99 beta=65.99 gamma=60.00
Closest atoms and distances in Å follow each position.
Atoms (fractional coordinates):
Be 0.8008 0.8008 0.5975  4 Be 2.49-2.63, 4 Au 2.51-2.62
Be 0.1992 0.1992 0.4025  4 Be 2.49-2.63, 4 Au 2.51-2.62
Be 0.0000 0.0000 0.0000  6 Au 2.49, 2 Be 2.63
Au 0.3977 0.3977 0.8068  7 Be 2.49-2.62, 1 Au 2.70
Au 0.6023 0.6023 0.1932  7 Be 2.49-2.62, 1 Au 2.70



The following is a DFT calculation (PBE) of a relaxed MgTl4Cd crystal.

Results
- ρ (g/cm3) = 8.445
- SG = No. 216

Unit cell a=6.4260 b=6.4260 c=6.4260 alpha=60.00 beta=60.00 gamma=60.00
Closest atoms and distances in Å follow each position.
Atoms (fractional coordinates):
Cd 0.7500 0.7500 0.7500  12 Tl 3.77, 4 Mg 3.94
Tl 0.8752 0.3749 0.3749  6 Tl 3.21
Tl 0.3749 0.3749 0.8752  6 Tl 3.21
Tl 0.3749 0.3749 0.3749  6 Tl 3.21
Tl 0.3749 0.8752 0.3749  6 Tl 3.21
Mg 0.0000 0.0000 0.0000  12 Tl 3.77, 4 Cd 3.94



The following is a DFT calculation (PBE) of a relaxed PmTlCdPb crystal.

Results
- ρ (g/cm3) = 9.663
- SG = No. 216

Unit cell a=5.4580 b=5.4580 c=5.4580 alpha=60.00 beta=60.00 gamma=60.00
Closest atoms and distances in Å follow each position.
Atoms (fractional coordinates):
Tl 0.5000 0.5000 0.5000  4 Pb 3.34, 4 Pm 3.34
Pb 0.7500 0.7500 0.7500  4 Cd 3.34, 4 Tl 3.34
Pm 0.2500 0.2500 0.2500  4 Cd 3.34, 4 Tl 3.34
Cd 0.0000 0.0000 0.0000  4 Pb 3.34, 4 Pm 3.34



The following is a DFT calculation (PBE) of a relaxed Zr2TlCu crystal.

Results
- ρ (g/cm3) = 8.867
- SG = No. 12

Unit cell a=5.3360 b=5.3360 c=5.3573 alpha=76.77 beta=76.77 gamma=34.72
Closest atoms and distances in Å follow each position.
Atoms (fractional coordinates):
Tl 0.2500 0.2500 0.2500  6 Zr 3.11-3.13, 4 Cu 3.12, 2 Tl 3.18
Zr 0.4898 0.4898 0.5151  3 Cu 2.93-3.19, 6 Zr 3.03-3.22, 3 Tl 3.11-3.13
Zr 0.0102 0.0102 0.9849  3 Cu 2.93-3.19, 6 Zr 3.03-3.22, 3 Tl 3.11-3.13
Cu 0.7500 0.7500 0.7500  6 Zr 2.93-3.19, 4 Tl 3.12, 2 Cu 3.18



Quick rundown of E, same order as above: -3.52 -1.79 -3.09 -5.77 eV per atom
Quick rundown of energy of formation, same order as above: 30 210 -156 120 meV per atom